First-principles (GGA-PBE) data for an optimized crystal structure of TaHPd2Ru, as listed in Alexandria.

Output
* space-group type: P4/mmm, No. 123
* theoretical density: 12.87 g cm⁻³
* polymorph energy (0 for the lowest one): 0.45 eV per formula unit
* Fermi-level density of states: 2.17 states/eV/f.u.

Cell and atoms, written as CIF:
```
data_TaHPd2Ru
_chemical_formula_sum 'Ta1 H1 Pd2 Ru1'
_cell_length_a 3.849
_cell_length_b 3.849
_cell_length_c 4.318
_cell_angle_alpha 90.00
_cell_angle_beta 90.00
_cell_angle_gamma 90.00
_symmetry_space_group_name_H-M 'P 1'
_symmetry_Int_Tables_number 1
loop_
_symmetry_equiv_pos_as_xyz
'x,y,z'
loop_
_atom_site_label
_atom_site_fract_x
_atom_site_fract_y
_atom_site_fract_z
_atom_site_occupancy
Ru1 0.500 0.500 0.500 1
H1 0.000 0.000 0.000 1
Pd1 0.000 0.500 0.000 1
Pd2 0.500 0.000 0.000 1
Ta1 0.000 0.000 0.500 1
```